# 1
VASP calculation (GGA-PBEsol) on LiIn2Se after structural relaxation.

Cell: 3.9866 4.3178 5.3938 Å, 90.00 90.00 93.02°
Fractional positions:
1 In 0.2564 0.2426 0.0000
2 In 0.7436 0.7574 0.0000
3 Li 0.0000 0.5000 0.5000
4 Se 0.5000 0.0000 0.5000

Properties
ΔE to the lowest computed polymorph = 87 meV per atom

# 2
VASP calculation (GGA-PBEsol) on LiInSe2 after structural relaxation.

Cell: 6.8186 7.2226 8.4210 Å, 90.00 90.00 90.00°
Fractional positions:
1 Li 0.0001 0.5881 0.8770
2 Li 0.5001 0.4119 0.1230
3 Li 0.5001 0.9119 0.3770
4 Li 0.0001 0.0881 0.6230
5 Se 0.6170 0.0806 0.1314
6 Se 0.1170 0.9194 0.8686
7 Se 0.1170 0.4194 0.6314
8 Se 0.6170 0.5806 0.3686
9 Se 0.1276 0.4171 0.1207
10 Se 0.6276 0.5829 0.8793
11 Se 0.6276 0.0829 0.6207
12 Se 0.1276 0.9171 0.3793
13 In 0.9980 0.5795 0.3743
14 In 0.4980 0.4205 0.6257
15 In 0.4980 0.9205 0.8743
16 In 0.9980 0.0795 0.1257

Properties
energy = -4.003 eV per atom

Magnetic moment for the records above, in order: 0.000, 0.000 μB/cell